Here is crystalline NiRu2O at its relaxed geometry from Alexandria. Energies are from PBE+U.

Computed properties:
**Total DFT energy (no corrections)**: -5.834 eV per atom
**Space-group type**: I-42d (122)
**DOS at the Fermi energy**: 0.603 states/eV per atom

Cell: 6.167 6.167 5.061 Å, 52.46 52.46 90.00°
Element x y z (fractional)
1 Ru 0.201 0.625 0.250
2 Ru 0.875 0.799 0.750
3 Ru 0.549 0.125 0.250
4 Ru 0.375 0.451 0.750
5 O 0.500 0.500 0.000
6 O 0.250 0.750 0.500
7 Ni 0.000 0.000 0.000
8 Ni 0.750 0.250 0.500